Here is K2BaCoF8 after structural relaxation from Alexandria via LeMat-Bulk. Energies are from GGA+U.

a b c (Å): 4.544 7.771 5.989
angles (deg): 90.00 96.57 90.00
Positions (direct):
K 0.000 0.232 0.000
K 0.000 0.768 0.000
Ba 0.500 0.500 0.500
Co 0.500 0.000 0.500
F 0.024 0.500 0.746
F 0.155 0.000 0.325
F 0.392 0.173 0.684
F 0.392 0.827 0.684
F 0.608 0.173 0.316
F 0.608 0.827 0.316
F 0.845 0.000 0.675
F 0.976 0.500 0.254

As for the electronic total energy: -0.3381 Ry per atom. The space group is P2/m (10).